[1]
Dy3Zn8Cd (PBE, optimized geometry); E_tot = -28.265 eV/cell; energy relative to the elements = -27.0 kJ/mol of atoms
1.0
2.711 1.565 8.856
-2.711 1.565 8.856
0.000 -3.131 8.856
Dy Zn Cd
3 8 1
Cartesian
0.000 0.000 0.000 Dy
0.000 0.000 3.341 Dy
0.000 0.000 16.407 Dy
-1.372 -0.792 10.444 Zn
0.000 -1.556 6.053 Zn
-1.347 0.778 6.053 Zn
0.000 0.000 8.255 Zn
1.347 0.778 6.053 Zn
1.372 -0.792 10.444 Zn
0.000 1.584 10.444 Zn
0.000 0.000 21.517 Zn
0.000 0.000 13.153 Cd



[2]
Nd8SiP3Cl4 (PBE, optimized geometry); E_tot = -91.306 eV/cell
1.0
4.160 2.402 6.988
-4.160 2.402 6.988
0.000 -4.804 6.988
Nd Si P Cl
8 1 3 4
Cartesian
-2.100 -1.213 11.995 Nd
0.000 0.000 4.983 Nd
0.000 -2.425 8.970 Nd
-2.100 1.213 8.970 Nd
2.100 -1.213 11.995 Nd
0.000 2.425 11.995 Nd
0.000 0.000 15.982 Nd
2.100 1.213 8.970 Nd
0.000 0.000 10.483 Si
-4.160 0.000 10.483 P
-2.080 1.201 3.494 P
2.080 1.201 3.494 P
0.000 0.000 0.000 Cl
-2.080 -1.201 6.988 Cl
-2.080 1.201 13.977 Cl
0.000 2.402 6.988 Cl



[3]
Tl2CuTe2O6 (PBE, optimized geometry); E_tot = -54.064 eV/cell
1.0
6.178 -2.757 0.000
6.178 2.757 0.000
-5.307 0.000 6.456
Tl Cu Te O
2 1 2 6
Cartesian
1.794 0.000 0.792 Tl
5.254 0.000 5.664 Tl
-2.654 0.000 3.228 Cu
1.553 0.000 4.365 Te
5.495 0.000 2.091 Te
2.099 1.420 3.218 O
4.949 1.420 3.239 O
4.217 0.000 0.697 O
2.831 0.000 5.759 O
2.099 -1.420 3.218 O
4.949 -1.420 3.239 O



[4]
BaPuCl4 (PBE, optimized geometry); E_tot = -73.088 eV/cell
1.0
4.665 -6.779 0.000
4.665 6.779 0.000
-3.518 0.000 5.662
Ba Pu Cl
2 2 8
Cartesian
2.027 4.908 4.246 Ba
3.786 -4.908 1.415 Ba
3.786 0.037 1.415 Pu
2.027 -0.037 4.246 Pu
-0.801 0.796 4.402 Cl
2.122 2.295 2.411 Cl
0.958 -0.796 1.571 Cl
5.450 2.295 0.420 Cl
0.363 -2.295 5.241 Cl
4.855 0.796 4.091 Cl
3.691 -2.295 3.251 Cl
6.614 -0.796 1.260 Cl



[5]
BaLiSc2Se4 (PBE, optimized geometry); E_tot = -87.634 eV/cell
1.0
2.064 -6.722 0.000
2.064 6.722 0.000
0.000 0.000 13.838
Ba Li Sc Se
2 2 4 8
Cartesian
2.064 5.121 10.379 Ba
2.064 -5.121 3.460 Ba
2.064 4.606 3.460 Li
2.064 -4.606 10.379 Li
2.064 1.688 7.691 Sc
2.064 1.688 13.067 Sc
2.064 -1.688 0.771 Sc
2.064 -1.688 6.148 Sc
0.000 0.000 0.000 Se
0.000 0.000 6.919 Se
2.064 3.192 1.470 Se
2.064 3.192 5.449 Se
2.064 0.864 10.379 Se
2.064 -0.864 3.460 Se
2.064 -3.192 8.389 Se
2.064 -3.192 12.368 Se



[6]
Ta3V4P4 (PBE, optimized geometry); E_tot = -101.327 eV/cell; energy relative to the elements = -67.1 kJ/mol of atoms
1.0
-1.661 3.689 6.334
1.661 -3.689 6.334
1.661 3.689 -6.334
Ta V P
3 4 4
Cartesian
0.000 0.000 0.000 Ta
1.661 0.000 4.891 Ta
0.000 3.689 1.443 Ta
1.661 1.469 -2.205 V
1.661 1.469 2.205 V
0.000 2.220 4.128 V
0.000 2.220 8.539 V
0.000 0.000 2.913 P
1.661 2.187 0.000 P
0.000 1.502 6.334 P
0.000 0.000 9.754 P



[7]
LiFe2Ir (PBE, optimized geometry); E_tot = -27.579 eV/cell; energy relative to the elements = 2.9 kJ/mol of atoms
1.0
4.730 -1.386 0.000
4.730 1.386 0.000
-1.925 0.000 3.867
Li Fe Ir
1 2 1
Cartesian
0.000 0.000 0.000 Li
0.866 0.000 2.877 Fe
3.862 0.000 1.981 Fe
6.712 0.000 1.020 Ir



[8]
CaHgO2F (PBE, optimized geometry); E_tot = -20.241 eV/cell
1.0
4.203 0.000 0.000
0.000 4.203 0.000
0.000 0.000 4.556
Ca Hg O F
1 1 2 1
Cartesian
0.000 0.000 0.000 Ca
2.101 2.101 2.278 Hg
0.000 2.101 2.278 O
2.101 0.000 2.278 O
2.101 2.101 0.000 F



Repeat the third record exactly.
Tl2CuTe2O6 (PBE, optimized geometry); E_tot = -54.064 eV/cell
1.0
6.178 -2.757 0.000
6.178 2.757 0.000
-5.307 0.000 6.456
Tl Cu Te O
2 1 2 6
Cartesian
1.794 0.000 0.792 Tl
5.254 0.000 5.664 Tl
-2.654 0.000 3.228 Cu
1.553 0.000 4.365 Te
5.495 0.000 2.091 Te
2.099 1.420 3.218 O
4.949 1.420 3.239 O
4.217 0.000 0.697 O
2.831 0.000 5.759 O
2.099 -1.420 3.218 O
4.949 -1.420 3.239 O